A plane-wave DFT calculation with PBE was carried out for an optimized crystal structure of Pm2PaNi4Ge3.

Lattice parameters (Å, degrees): 4.228 4.228 10.193 90.00 90.00 90.00
Space group P-4m2 (No. 115)
Asymmetric unit:
Pm 0.000 0.500 0.218 [2 per cell]
Pa 0.000 0.000 0.500 [1 per cell]
Ni 0.000 0.000 0.000 [1 per cell]
Ni 0.000 0.500 0.648 [2 per cell]
Ni 0.500 0.500 0.000 [1 per cell]
Ge 0.000 0.500 0.880 [2 per cell]
Ge 0.500 0.500 0.500 [1 per cell]

Computed properties:
* formation energy from the elements: -0.59 eV per atom
* total magnetic moment: 0.0 μB/f.u.


A plane-wave DFT calculation with PBE was carried out for an optimized crystal structure of HoU2In9.

Lattice parameters (Å, degrees): 4.630 4.630 13.901 90.00 90.00 90.00
Space group P4/mmm (No. 123)
Asymmetric unit:
Ho 0.000 0.000 0.000 [1 per cell]
U 0.000 0.000 0.332 [2 per cell]
In 0.000 0.500 0.166 [4 per cell]
In 0.000 0.500 0.500 [2 per cell]
In 0.500 0.500 0.000 [1 per cell]
In 0.500 0.500 0.334 [2 per cell]

Computed properties:
* formation energy from the elements: -0.14 eV per atom
* total magnetic moment: 5.4 μB/f.u.


A plane-wave DFT calculation with PBE was carried out for an optimized crystal structure of CdSnB3.

Lattice parameters (Å, degrees): 4.563 4.563 4.563 90.00 90.00 90.00
Space group Pm-3m (No. 221)
Asymmetric unit:
Cd 0.000 0.000 0.000 [1 per cell]
Sn 0.500 0.500 0.500 [1 per cell]
B 0.000 0.500 0.500 [3 per cell]

Computed properties:
* formation energy from the elements: 2.05 eV per atom
* total magnetic moment: 0.0 μB/f.u.


A plane-wave DFT calculation with PBE was carried out for an optimized crystal structure of K2HoTmTe4.

Lattice parameters (Å, degrees): 7.734 4.466 8.630 90.00 107.38 90.00
Space group P2/m (No. 10)
Asymmetric unit:
K 0.000 0.000 0.000 [1 per cell]
K 0.500 0.500 0.000 [1 per cell]
Ho 0.000 0.500 0.500 [1 per cell]
Tm 0.500 0.000 0.500 [1 per cell]
Te 0.237 0.000 0.707 [2 per cell]
Te 0.266 0.500 0.294 [2 per cell]

Computed properties:
* E_form (uncorrected): -1.38 eV per atom
* total magnetic moment: 0.0 μB/f.u.


A plane-wave DFT calculation with PBE was carried out for an optimized crystal structure of TbTm4Th3.

Lattice parameters (Å, degrees): 5.001 10.021 10.006 90.00 90.00 90.00
Space group Pmmn (No. 59, origin choice 2)
Asymmetric unit:
Tb 0.250 0.250 0.125 [2 per cell]
Tm 0.250 0.250 0.627 [2 per cell]
Tm 0.250 0.501 0.376 [4 per cell]
Tm 0.250 0.750 0.623 [2 per cell]
Th 0.250 0.002 0.875 [4 per cell]
Th 0.250 0.750 0.127 [2 per cell]

Computed properties:
* formation energy from the elements: 0.04 eV per atom
* total magnetic moment: 0.0 μB/f.u.


A plane-wave DFT calculation with PBE was carried out for an optimized crystal structure of MnOsRh2.

Lattice parameters (Å, degrees): 2.727 3.797 5.374 90.00 90.00 90.00
Space group Pmmm (No. 47)
Asymmetric unit:
Mn 0.000 0.000 0.000 [1 per cell]
Os 0.000 0.000 0.500 [1 per cell]
Rh 0.500 0.500 0.251 [2 per cell]

Computed properties:
* formation energy from the elements: -0.02 eV per atom
* total magnetic moment: 2.8 μB/f.u.